First-principles (PBE) data for Tl2AuBr8 after structural relaxation, as listed in Alexandria.

Calculated values
Total magnetic moment, μB/cell: 4.07
Final energy, eV for the cell shown: -100.65
Energy relative to the elements, uncorrected, meV per atom: -343
Distance to the lowest polymorph of the same formula, kJ per mole of atoms: 1.1

Cell: 18.8651 9.8166 13.4256 Å, 90.00 131.74 90.00°
Last column: nearest neighbours and their distance in Å.
Space group C2/c (No. 15)
Asymmetric unit:
Tl1 0.0598 0.1963 0.0597  3 Br 2.56-2.72
Au1 0.0000 0.3570 0.2500  4 Br 2.55-2.65
Br1 0.0869 0.0283 0.6906  1 Tl 2.65
Br2 0.0924 0.3325 0.5077  1 Au 2.65, 1 Tl 2.72
Br3 0.1483 0.2636 0.9837  1 Tl 2.56
Br4 0.1544 0.3595 0.2955  1 Au 2.55

=====

First-principles (PBE) data for TlAu2Br after structural relaxation, as listed in Alexandria.

Calculated values
Total magnetic moment, μB/cell: 0.00
Final energy, eV for the cell shown: -19.85
Energy relative to the elements, uncorrected, meV per atom: 167
Distance to the lowest polymorph of the same formula, kJ per mole of atoms: 26.1

Cell: 4.0753 6.2231 7.8553 Å, 90.00 90.00 90.00°
Last column: nearest neighbours and their distance in Å.
Space group Cmmm (No. 65)
Asymmetric unit:
Tl1 0.0000 0.0000 0.0000  4 Au 2.83
Au1 0.0000 0.5000 0.2493  2 Tl 2.83, 2 Br 2.83
Br1 0.0000 0.0000 0.5000  4 Au 2.83

=====

First-principles (PBE) data for Tl2AuBr6 after structural relaxation, as listed in Alexandria.

Calculated values
Total magnetic moment, μB/cell: 0.00
Final energy, eV for the cell shown: -43.22
Energy relative to the elements, uncorrected, meV per atom: -396

Cell: 7.4165 7.4080 12.8115 Å, 90.00 125.34 90.00°
Last column: nearest neighbours and their distance in Å.
Space group P2_1/c (No. 14)
Asymmetric unit:
Tl1 0.2482 0.0012 0.2496  12 Br 3.62-3.79
Au1 0.5000 0.0000 0.0000  6 Br 2.59-2.60
Br1 0.2414 0.5011 0.2516  1 Au 2.60
Br2 0.2542 0.7431 0.5057  1 Au 2.59
Br3 0.2618 0.2485 0.5046  1 Au 2.59

=====

First-principles (PBE) data for Tl2AuBr after structural relaxation, as listed in Alexandria.

Calculated values
Total magnetic moment, μB/cell: 0.00
Final energy, eV for the cell shown: -32.85
Energy relative to the elements, uncorrected, meV per atom: -317
Distance to the lowest polymorph of the same formula, kJ per mole of atoms: 3.3

Cell: 4.5095 4.5095 22.5783 Å, 90.00 90.00 120.00°
Last column: nearest neighbours and their distance in Å.
Space group R3m (No. 160, hexagonal axes)
Asymmetric unit:
Tl1 0.0000 0.0000 0.0000  3 Au 3.09, 3 Br 3.28
Tl2 0.0000 0.0000 0.1850  3 Au 3.11, 3 Br 3.40
Au1 0.0000 0.0000 0.5933  6 Tl 3.09-3.11
Br1 0.0000 0.0000 0.4217  6 Tl 3.28-3.40

=====

First-principles (PBE) data for Tl2AuBr after structural relaxation, as listed in Alexandria.

Calculated values
Total magnetic moment, μB/cell: 0.00
Final energy, eV for the cell shown: -11.09
Energy relative to the elements, uncorrected, meV per atom: -351
Distance to the lowest polymorph of the same formula, kJ per mole of atoms: 0.0

Cell: 4.4957 4.4957 6.3356 Å, 90.00 90.00 90.00°
Last column: nearest neighbours and their distance in Å.
Space group P4/mmm (No. 123)
Asymmetric unit:
Tl1 0.0000 0.0000 0.0000  2 Au 3.17, 4 Br 3.18
Tl2 0.5000 0.5000 0.5000  2 Br 3.17, 4 Au 3.18
Au1 0.0000 0.0000 0.5000  6 Tl 3.17-3.18
Br1 0.5000 0.5000 0.0000  6 Tl 3.17-3.18

=====

First-principles (PBE) data for TlAu3Br after structural relaxation, as listed in Alexandria.

Calculated values
Total magnetic moment, μB/cell: 0.00
Final energy, eV for the cell shown: -10.31
Energy relative to the elements, uncorrected, meV per atom: 712
Distance to the lowest polymorph of the same formula, kJ per mole of atoms: 7.2

Cell: 5.3479 5.3479 5.3479 Å, 90.00 90.00 90.00°
Last column: nearest neighbours and their distance in Å.
Space group Pm-3m (No. 221)
Asymmetric unit:
Tl1 0.0000 0.0000 0.0000  6 Au 2.67
Au1 0.0000 0.0000 0.5000  2 Tl 2.67
Br1 0.5000 0.5000 0.5000  12 Au 3.78

=====

First-principles (PBE) data for Tl2AuBr after structural relaxation, as listed in Alexandria.

Calculated values
Total magnetic moment, μB/cell: 0.00
Final energy, eV for the cell shown: -22.07
Energy relative to the elements, uncorrected, meV per atom: -339
Distance to the lowest polymorph of the same formula, kJ per mole of atoms: 1.2

Cell: 8.0100 4.6153 7.5145 Å, 90.00 110.85 90.00°
Last column: nearest neighbours and their distance in Å.
Space group C2/m (No. 12)
Asymmetric unit:
Tl1 0.2402 0.0000 0.2202  3 Au 3.08-3.09, 3 Br 3.31-3.32
Au1 0.0000 0.5000 0.0000  6 Tl 3.08-3.09
Br1 0.0000 0.0000 0.5000  6 Tl 3.31-3.32

=====

First-principles (PBE) data for TlAu2Br after structural relaxation, as listed in Alexandria.

Calculated values
Total magnetic moment, μB/cell: 0.00
Final energy, eV for the cell shown: -30.72
Energy relative to the elements, uncorrected, meV per atom: 88
Distance to the lowest polymorph of the same formula, kJ per mole of atoms: 18.6

Cell: 3.8552 3.8552 22.7908 Å, 90.00 90.00 120.00°
Last column: nearest neighbours and their distance in Å.
Space group R-3m (No. 166, hexagonal axes)
Asymmetric unit:
Tl1 0.0000 0.0000 0.0000  6 Au 2.89
Au1 0.0000 0.0000 0.2522  3 Tl 2.89, 3 Br 2.96
Br1 0.0000 0.0000 0.5000  6 Au 2.96